1.
Y2ScCuO: optimized geometry, PBE.

Structure (POSCAR):
```
Y2ScCuO
1.0
4.7980 0.0000 0.0000
0.0000 4.7980 0.0000
0.0000 0.0000 4.2300
O Y Sc Cu
1 2 1 1
Direct
0.0000 0.0000 0.0000
0.5000 0.0000 0.0000
0.0000 0.5000 0.0000
0.0000 0.0000 0.5000
0.5000 0.5000 0.5000
```

Crystal system: tetragonal
Space group: P4/mmm
E: -6.85 eV/atom
Uncorrected formation energy: -1188 meV/atom
ρ: 5.2 g cm⁻³
Magnetization: 0.00 μB per formula unit

=====

2.
CuBSe2: optimized geometry, PBE.

Structure (POSCAR):
```
CuBSe2
1.0
5.4562 0.0000 -1.5622
2.3801 5.5388 -3.4847
-2.3801 5.5388 3.4847
B Cu Se
2 2 4
Direct
0.2500 0.0075 0.5075
0.7500 0.9925 0.4925
0.2500 0.7457 0.2457
0.7500 0.2543 0.7543
0.7528 0.2993 0.3892
0.7472 0.8892 0.7993
0.2472 0.7007 0.6108
0.2528 0.1108 0.2007
```

Crystal system: monoclinic
Space group: C2/c
E: -4.41 eV/atom
Uncorrected formation energy: 25 meV/atom
ρ: 4.6 g cm⁻³
Magnetization: 0.00 μB per formula unit

=====

Copy entry 2 word for word.
CuBSe2: optimized geometry, PBE.

Structure (POSCAR):
```
CuBSe2
1.0
5.4562 0.0000 -1.5622
2.3801 5.5388 -3.4847
-2.3801 5.5388 3.4847
B Cu Se
2 2 4
Direct
0.2500 0.0075 0.5075
0.7500 0.9925 0.4925
0.2500 0.7457 0.2457
0.7500 0.2543 0.7543
0.7528 0.2993 0.3892
0.7472 0.8892 0.7993
0.2472 0.7007 0.6108
0.2528 0.1108 0.2007
```

Crystal system: monoclinic
Space group: C2/c
E: -4.41 eV/atom
Uncorrected formation energy: 25 meV/atom
ρ: 4.6 g cm⁻³
Magnetization: 0.00 μB per formula unit

=====

Please write out number 1 again, unchanged.
Y2ScCuO: optimized geometry, PBE.

Structure (POSCAR):
```
Y2ScCuO
1.0
4.7980 0.0000 0.0000
0.0000 4.7980 0.0000
0.0000 0.0000 4.2300
O Y Sc Cu
1 2 1 1
Direct
0.0000 0.0000 0.0000
0.5000 0.0000 0.0000
0.0000 0.5000 0.0000
0.0000 0.0000 0.5000
0.5000 0.5000 0.5000
```

Crystal system: tetragonal
Space group: P4/mmm
E: -6.85 eV/atom
Uncorrected formation energy: -1188 meV/atom
ρ: 5.2 g cm⁻³
Magnetization: 0.00 μB per formula unit

=====

- The lowest E belongs to which entry?
  Y2ScCuO